# 1
The following is a DFT calculation (PBE) of a relaxed structure of LuScGaCu.

Structure (POSCAR):
```
LuScGaCu
1.0
-1.634 2.670 3.627
-1.860 -2.110 3.879
2.379 0.106 4.158
Ga Cu Lu Sc
1 1 1 1
direct
0.750 0.750 0.750
0.250 0.250 0.250
0.500 0.500 0.500
0.000 0.000 0.000
```

Space-group type: F-43m
E_form in eV per atom: -0.45
Crystal system: cubic

# 2
The following is a DFT calculation (PBE) of a relaxed structure of YLuGaCu.

Structure (POSCAR):
```
YLuGaCu
1.0
4.952 0.000 0.000
2.476 4.289 0.000
2.476 1.430 4.043
Y Lu Ga Cu
1 1 1 1
direct
0.750 0.750 0.750
0.250 0.250 0.250
0.500 0.500 0.500
0.000 0.000 0.000
```

Space-group type: F-43m
E_form in eV per atom: -0.44
Crystal system: cubic

# 3
The following is a DFT calculation (PBE) of a relaxed structure of LuZnGaCu.

Structure (POSCAR):
```
LuZnGaCu
1.0
-0.152 -4.553 0.196
0.805 -2.471 -3.747
3.845 -2.427 -0.348
Lu Zn Cu Ga
1 1 1 1
direct
0.000 0.000 0.000
0.750 0.750 0.750
0.250 0.250 0.250
0.500 0.500 0.500
```

Space-group type: F-43m
E_form in eV per atom: -0.30
Crystal system: cubic

# 4
The following is a DFT calculation (PBE) of a relaxed structure of Mg3GaCu.

Structure (POSCAR):
```
Mg3GaCu
1.0
5.004 0.000 0.000
0.000 5.004 0.000
0.000 0.000 5.004
Cu Mg Ga
1 3 1
direct
0.500 0.500 0.500
0.000 0.000 0.500
0.000 0.500 0.000
0.500 0.000 0.000
0.000 0.000 0.000
```

E above lowest polymorph in meV/atom: 420
Space-group type: Pm-3m
E_form in eV per atom: 0.39
Crystal system: cubic

# 5
The following is a DFT calculation (PBE) of a relaxed structure of Mg3Ga9Cu2.

Structure (POSCAR):
```
Mg3Ga9Cu2
1.0
4.336 0.000 0.000
2.168 7.610 -0.066
2.168 1.660 7.427
Ga Cu Mg
9 2 3
direct
0.145 0.142 0.569
0.000 0.500 0.500
0.855 0.431 0.858
0.855 0.858 0.431
0.362 0.003 0.272
0.638 0.997 0.728
0.145 0.569 0.142
0.362 0.272 0.003
0.638 0.728 0.997
0.500 0.349 0.651
0.500 0.651 0.349
0.290 0.710 0.710
0.000 0.000 0.000
0.710 0.290 0.290
```

Space-group type: Immm
E_form in eV per atom: -0.10
Crystal system: orthorhombic

# 6
The following is a DFT calculation (PBE) of a relaxed structure of Mg3Ga3Cu2.

Structure (POSCAR):
```
Mg3Ga3Cu2
1.0
5.239 0.000 0.000
0.000 6.600 0.000
0.000 0.000 16.136
Mg Cu Ga
12 8 12
direct
0.355 0.672 0.750
0.855 0.828 0.250
0.145 0.172 0.750
0.645 0.328 0.250
0.614 0.011 0.884
0.386 0.989 0.116
0.386 0.989 0.384
0.886 0.511 0.884
0.614 0.011 0.616
0.114 0.489 0.116
0.114 0.489 0.384
0.886 0.511 0.616
0.392 0.374 0.620
0.108 0.874 0.620
0.892 0.126 0.380
0.108 0.874 0.880
0.892 0.126 0.120
0.608 0.626 0.120
0.392 0.374 0.880
0.608 0.626 0.380
0.609 0.320 0.476
0.609 0.320 0.024
0.355 0.685 0.250
0.891 0.820 0.476
0.109 0.180 0.524
0.855 0.815 0.750
0.145 0.185 0.250
0.645 0.315 0.750
0.391 0.680 0.976
0.891 0.820 0.024
0.391 0.680 0.524
0.109 0.180 0.976
```

E above lowest polymorph in meV/atom: 15
Space-group type: Pnma
E_form in eV per atom: -0.15
Crystal system: orthorhombic

# 7
The following is a DFT calculation (PBE) of a relaxed structure of MgGaCu6.

Structure (POSCAR):
```
MgGaCu6
1.0
4.737 0.000 0.000
0.000 4.737 0.000
0.000 0.000 4.737
Cu Ga Mg
6 1 1
direct
0.248 0.000 0.500
0.500 0.752 0.000
0.000 0.500 0.248
0.000 0.500 0.752
0.752 0.000 0.500
0.500 0.248 0.000
0.000 0.000 0.000
0.500 0.500 0.500
```

E above lowest polymorph in meV/atom: 79
Space-group type: Pm-3
E_form in eV per atom: -0.01
Crystal system: cubic

# 8
The following is a DFT calculation (PBE) of a relaxed structure of MgGa2Cu6.

Structure (POSCAR):
```
MgGa2Cu6
1.0
-4.074 -0.475 1.872
2.388 -0.003 7.172
-0.503 7.055 2.669
Mg Cu Ga
2 12 4
direct
0.250 0.121 0.879
0.750 0.879 0.121
0.796 0.008 0.747
0.704 0.253 0.992
0.852 0.650 0.889
0.352 0.889 0.650
0.462 0.676 0.434
0.648 0.111 0.350
0.296 0.747 0.008
0.962 0.434 0.676
0.038 0.566 0.324
0.204 0.992 0.253
0.538 0.324 0.566
0.148 0.350 0.111
0.902 0.792 0.529
0.598 0.471 0.208
0.402 0.529 0.792
0.098 0.208 0.471
```

E above lowest polymorph in meV/atom: 0
Space-group type: C2/c
E_form in eV per atom: -0.07
Crystal system: monoclinic